No. 1
Material: Ac3Nd2ErTe6
Method: DFT, PBE
State: optimized geometry

Total energy, eV per atom: -5.191
Formation energy without anion corrections, meV/atom: -1418
Density of states at the Fermi level, states/eV per cell: 6.70
Spin magnetization, μB per formula unit: 0.0

a b c (Å): 10.309 10.309 9.288
angles (deg): 104.37 104.37 25.38
Atoms (fractional coordinates):
Ac: 0.000 0.000 0.000
Ac: 0.329 0.329 0.664
Ac: 0.671 0.671 0.336
Nd: 0.331 0.331 0.163
Nd: 0.669 0.669 0.837
Er: 0.000 0.000 0.500
Te: 0.157 0.157 0.589
Te: 0.169 0.169 0.075
Te: 0.498 0.498 0.269
Te: 0.502 0.502 0.731
Te: 0.831 0.831 0.925
Te: 0.843 0.843 0.411

---

No. 2
Material: Zn15GaAg4
Method: DFT, PBE
State: optimized geometry

Total energy, eV per atom: -1.660
Energy of formation from the pure elements, eV per atom: 0.02
Density of states at the Fermi level, states/eV per cell: 6.84
Spin magnetization, μB per formula unit: 0.0

a b c (Å): 3.977 3.977 19.795
angles (deg): 90.00 90.00 90.00
Atoms (fractional coordinates):
Zn: 0.000 0.000 0.000
Zn: 0.000 0.000 0.201
Zn: 0.000 0.000 0.400
Zn: 0.000 0.000 0.600
Zn: 0.000 0.000 0.799
Zn: 0.000 0.500 0.100
Zn: 0.000 0.500 0.300
Zn: 0.000 0.500 0.500
Zn: 0.000 0.500 0.700
Zn: 0.000 0.500 0.900
Zn: 0.500 0.000 0.100
Zn: 0.500 0.000 0.300
Zn: 0.500 0.000 0.500
Zn: 0.500 0.000 0.700
Zn: 0.500 0.000 0.900
Ga: 0.500 0.500 0.000
Ag: 0.500 0.500 0.200
Ag: 0.500 0.500 0.401
Ag: 0.500 0.500 0.599
Ag: 0.500 0.500 0.800

---

No. 3
Material: Pm2Zr2S7
Method: DFT, PBE
State: optimized geometry

Total energy, eV per atom: -6.741
Formation energy without anion corrections, meV/atom: -1697
Density of states at the Fermi level, states/eV per cell: 0.47
Spin magnetization, μB per formula unit: 0.0

a b c (Å): 8.354 8.354 8.354
angles (deg): 153.25 68.13 118.66
Atoms (fractional coordinates):
Pm: 0.229 0.000 0.229
Pm: 0.771 0.000 0.771
Zr: 0.264 0.264 0.000
Zr: 0.702 0.202 0.500
S: 0.087 0.712 0.374
S: 0.338 0.712 0.626
S: 0.422 0.525 0.897
S: 0.614 0.293 0.321
S: 0.627 0.525 0.103
S: 0.924 0.924 0.000
S: 0.972 0.293 0.679

---

No. 4
Material: V4B
Method: DFT, PBE
State: optimized geometry

Total energy, eV per atom: -8.500
Energy of formation from the pure elements, eV per atom: 0.13
Density of states at the Fermi level, states/eV per cell: 4.58
Spin magnetization, μB per formula unit: 0.0
Energy above the lowest structure with this stoichiometry, eV/atom: 0.241

a b c (Å): 4.031 4.031 4.031
angles (deg): 90.00 90.00 90.00
Atoms (fractional coordinates):
V: 0.000 0.000 0.000
V: 0.000 0.500 0.500
V: 0.500 0.000 0.500
V: 0.500 0.500 0.000
B: 0.500 0.500 0.500

---

No. 5
Material: CaZrIr2
Method: DFT, PBE
State: optimized geometry

Total energy, eV per atom: -7.226
Energy of formation from the pure elements, eV per atom: -0.16
Density of states at the Fermi level, states/eV per cell: 3.22
Spin magnetization, μB per formula unit: 0.0

a b c (Å): 8.870 8.870 8.870
angles (deg): 21.06 21.06 21.06
Atoms (fractional coordinates):
Ca: 0.000 0.000 0.000
Zr: 0.500 0.500 0.500
Ir: 0.243 0.243 0.243
Ir: 0.757 0.757 0.757

---

No. 6
Material: TaNiPt4
Method: DFT, PBE
State: optimized geometry

Total energy, eV per atom: -7.298
Energy of formation from the pure elements, eV per atom: -0.33
Density of states at the Fermi level, states/eV per cell: 9.57
Spin magnetization, μB per formula unit: 0.0
Energy above the lowest structure with this stoichiometry, eV/atom: 0.000

a b c (Å): 8.755 7.932 5.389
angles (deg): 79.68 63.05 37.27
Atoms (fractional coordinates):
Ta: 0.125 0.125 0.125
Ta: 0.875 0.875 0.875
Ni: 0.375 0.375 0.375
Ni: 0.625 0.625 0.625
Pt: 0.024 0.535 0.225
Pt: 0.225 0.715 0.024
Pt: 0.285 0.775 0.465
Pt: 0.465 0.976 0.285
Pt: 0.535 0.024 0.715
Pt: 0.715 0.225 0.535
Pt: 0.775 0.285 0.976
Pt: 0.976 0.465 0.775

---

No. 7
Material: Ac2GaBi
Method: DFT, PBE
State: optimized geometry

Total energy, eV per atom: -3.818
Energy of formation from the pure elements, eV per atom: -0.04
Density of states at the Fermi level, states/eV per cell: 4.33
Spin magnetization, μB per formula unit: 0.0
Energy above the lowest structure with this stoichiometry, eV/atom: 0.544

a b c (Å): 11.193 11.193 11.193
angles (deg): 22.67 22.67 22.67
Atoms (fractional coordinates):
Ac: 0.101 0.101 0.101
Ac: 0.899 0.899 0.899
Ga: 0.000 0.000 0.000
Bi: 0.500 0.500 0.500

---

No. 8
Material: RbTl2InBr5
Method: DFT, PBE
State: optimized geometry

Total energy, eV per atom: -2.846
Formation energy without anion corrections, meV/atom: -979
Density of states at the Fermi level, states/eV per cell: 2.01
Spin magnetization, μB per formula unit: 0.0

a b c (Å): 10.479 10.479 13.153
angles (deg): 90.00 90.00 151.47
Atoms (fractional coordinates):
Rb: 0.205 0.795 0.500
Rb: 0.795 0.205 0.000
Tl: 0.124 0.876 0.169
Tl: 0.137 0.863 0.805
Tl: 0.863 0.137 0.305
Tl: 0.876 0.124 0.669
In: 0.479 0.521 0.927
In: 0.521 0.479 0.427
Br: 0.028 0.972 0.494
Br: 0.280 0.720 0.180
Br: 0.347 0.653 0.844
Br: 0.371 0.629 0.492
Br: 0.472 0.528 0.237
Br: 0.528 0.472 0.737
Br: 0.629 0.371 0.992
Br: 0.653 0.347 0.344
Br: 0.720 0.280 0.680
Br: 0.972 0.028 0.994

---

Which of these has the highest total energy? Zn15GaAg4

---

Among the records above, which one has the highest density of states at the Fermi level? TaNiPt4